[1]
The following is a DFT calculation (PBE) of crystalline CaBeAu2 at its relaxed geometry.

Unit cell a=4.727 b=4.727 c=4.727 alpha=60.00 beta=60.00 gamma=60.00
Positions (direct):
Au 0.250 0.250 0.250
Au 0.000 0.000 0.000
Be 0.500 0.500 0.500
Ca 0.750 0.750 0.750

- Total energy: -3.19 eV/atom
- Density of states at the Fermi level: 1.90 states/eV/f.u.
- Size of the total moment: 0.0 μB/cell

=====

[2]
The following is a DFT calculation (PBE) of crystalline CaBeAu at its relaxed geometry.

Unit cell a=4.076 b=4.076 c=4.291 alpha=90.00 beta=90.00 gamma=120.00
Positions (direct):
Be 0.333 0.667 0.167
Ca 0.667 0.333 0.667
Au 0.000 0.000 0.167

- Density of states at the Fermi level: 1.04 states/eV/f.u.
- Energy above the most stable polymorph in this dataset: 0.000 eV per atom
- Size of the total moment: 0.0 μB/cell

=====

[3]
The following is a DFT calculation (PBE) of crystalline CaBe2Au2 at its relaxed geometry.

Unit cell a=7.497 b=7.497 c=2.875 alpha=90.00 beta=90.00 gamma=90.00
Positions (direct):
Au 0.140 0.360 0.000
Au 0.360 0.860 0.000
Au 0.640 0.140 0.000
Au 0.860 0.640 0.000
Ca 0.500 0.500 0.000
Ca 0.000 0.000 0.000
Be 0.147 0.647 0.500
Be 0.853 0.353 0.500
Be 0.647 0.853 0.500
Be 0.353 0.147 0.500

- Density of states at the Fermi level: 1.96 states/eV/f.u.
- Energy above the most stable polymorph in this dataset: 0.274 eV per atom
- Size of the total moment: 0.0 μB/cell

=====

[4]
The following is a DFT calculation (PBE) of crystalline Ca2BeAu at its relaxed geometry.

Unit cell a=3.402 b=3.402 c=8.223 alpha=90.00 beta=90.00 gamma=90.00
Positions (direct):
Ca 0.000 0.000 0.933
Ca 0.500 0.500 0.318
Be 0.500 0.500 0.678
Au 0.000 0.000 0.571

- Total energy: -2.89 eV/atom
- Density of states at the Fermi level: 2.11 states/eV/f.u.
- Size of the total moment: 0.0 μB/cell